Entry from the Alexandria database: Os2RuW after structural relaxation (GGA-PBE).

Its formation energy is 0.49 eV/atom. Its crystal system is cubic. Its space group is Fm-3m. The mass density comes out at 18.4 g/cm3. Its total energy is -10.68 eV/atom.

Cell lengths 4.3976, 4.3976, 4.3976 Å; angles 60.00, 60.00, 60.00 degrees
Last column: nearest neighbours and their distance in Å.
Positions (direct):
Os 0.2500 0.2500 0.2500  4 W 2.69, 4 Ru 2.69
Os 0.7500 0.7500 0.7500  4 W 2.69, 4 Ru 2.69
Ru 0.0000 0.0000 0.0000  8 Os 2.69
W 0.5000 0.5000 0.5000  8 Os 2.69

Entry from the Alexandria database: AcSm2YEr after structural relaxation (GGA-PBE).

Its formation energy is 0.36 eV/atom. Its crystal system is orthorhombic. Its space group is Cmcm. The mass density comes out at 6.9 g/cm3. Its total energy is -4.55 eV/atom.

Cell lengths 7.3400, 8.5149, 7.3844 Å; angles 125.21, 90.00, 90.00 degrees
Last column: nearest neighbours and their distance in Å.
Positions (direct):
Ac 0.2500 0.7501 0.5002  1 Y 3.48, 2 Er 3.72
Ac 0.7500 0.2499 0.4998  1 Y 3.48, 2 Er 3.72
Sm 0.0000 0.3078 0.0000  2 Y 3.23, 1 Sm 3.27, 2 Er 3.44
Sm 0.0000 0.6922 0.0000  2 Y 3.23, 1 Sm 3.27, 2 Er 3.44
Sm 0.5000 0.3078 0.0000  2 Y 3.23, 1 Sm 3.27, 2 Er 3.44
Sm 0.5000 0.6922 0.0000  2 Y 3.23, 1 Sm 3.27, 2 Er 3.44
Y 0.7500 0.9619 0.9237  1 Er 3.17, 4 Sm 3.23, 1 Ac 3.48
Y 0.2500 0.0381 0.0763  1 Er 3.17, 4 Sm 3.23, 1 Ac 3.48
Er 0.2500 0.3012 0.6024  1 Y 3.17, 4 Sm 3.44
Er 0.7500 0.6988 0.3976  1 Y 3.17, 4 Sm 3.44

Entry from the Alexandria database: ZrCo2 after structural relaxation (GGA-PBE).

Its formation energy is -0.15 eV/atom. Its crystal system is orthorhombic. Its space group is Immm. The mass density comes out at 7.9 g/cm3. Its total energy is -7.74 eV/atom.

Cell lengths 5.8093, 5.8093, 5.8093 Å; angles 144.29, 128.85, 63.94 degrees
Last column: nearest neighbours and their distance in Å.
Positions (direct):
Co 0.6137 0.6137 0.0000  5 Co 2.24-2.45
Co 0.2497 0.0000 0.2497  6 Co 2.45-2.51
Co 0.3863 0.3863 0.0000  5 Co 2.24-2.45
Co 0.7503 0.0000 0.7503  6 Co 2.45-2.51
Zr 0.8121 0.3121 0.5000  8 Co 2.61-2.86
Zr 0.1879 0.6879 0.5000  8 Co 2.61-2.86

- Which formula does entry 3 have?
  ZrCo2

Repeat the first record exactly.
Entry from the Alexandria database: Os2RuW after structural relaxation (GGA-PBE).

Its formation energy is 0.49 eV/atom. Its crystal system is cubic. Its space group is Fm-3m. The mass density comes out at 18.4 g/cm3. Its total energy is -10.68 eV/atom.

Cell lengths 4.3976, 4.3976, 4.3976 Å; angles 60.00, 60.00, 60.00 degrees
Last column: nearest neighbours and their distance in Å.
Positions (direct):
Os 0.2500 0.2500 0.2500  4 W 2.69, 4 Ru 2.69
Os 0.7500 0.7500 0.7500  4 W 2.69, 4 Ru 2.69
Ru 0.0000 0.0000 0.0000  8 Os 2.69
W 0.5000 0.5000 0.5000  8 Os 2.69